DFT (PBE) results for a geometry-optimized Al2AgTe structure.

Geometry as extended XYZ:
```
4
Lattice="-3.9419 3.2786 -1.2980 -2.0179 -1.8461 -4.5269 0.9413 -2.5168 4.5555" Properties=species:S:1:pos:R:3 pbc="T T T"
Al -2.0283 -1.8234 -1.4419
Al 0.0000 0.0000 0.0000
Te -2.9799 0.7162 -2.9124
Ag -2.9903 0.7390 0.1725
```

Calculated values
* E_form (uncorrected): 0.252 eV per atom
* calculated volume: 85.4 Å³/f.u.
* size of the total moment: 0.00 μB per formula unit
* symmetry: I-4m2